1:
This record from Alexandria via LeMat-Bulk describes an optimized crystal structure of YCI3. The functional is PBE-GGA.

CIF file:
```
data_YCI3
_space_group_name_H-M_alt 'P m -3 m'
_space_group_IT_number 221
_space_group_name_Hall '-P 4 2 3'
_cell_length_a 6.0236
_cell_length_b 6.0236
_cell_length_c 6.0236
_cell_angle_alpha 90.00
_cell_angle_beta 90.00
_cell_angle_gamma 90.00
loop_
_atom_site_label
_atom_site_type_symbol
_atom_site_fract_x
_atom_site_fract_y
_atom_site_fract_z
Y1 Y 0.0000 0.0000 0.0000
C1 C 0.5000 0.5000 0.5000
I1 I 0.0000 0.0000 0.5000
```

Computed properties:
The calculation puts the total magnetization at 2.00 Bohr magnetons per cell. As for the density of states at the Fermi level: 9.94 states/eV/cell.

2:
This record from Alexandria via LeMat-Bulk describes an optimized crystal structure of YCI3. The functional is PBE-GGA.

CIF file:
```
data_YCI3
_space_group_name_H-M_alt 'P m -3 m'
_space_group_IT_number 221
_space_group_name_Hall '-P 4 2 3'
_cell_length_a 5.0936
_cell_length_b 5.0936
_cell_length_c 5.0936
_cell_angle_alpha 90.00
_cell_angle_beta 90.00
_cell_angle_gamma 90.00
loop_
_atom_site_label
_atom_site_type_symbol
_atom_site_fract_x
_atom_site_fract_y
_atom_site_fract_z
Y1 Y 0.0000 0.0000 0.0000
C1 C 0.5000 0.5000 0.5000
I1 I 0.0000 0.5000 0.5000
```

Computed properties:
The calculation puts the total magnetization at 0.48 Bohr magnetons per cell. As for the density of states at the Fermi level: 4.69 states/eV/cell.

So which one wins? Going from most stable to least: 1, 2.

1:
This record from Alexandria via LeMat-Bulk describes an optimized crystal structure of YC2I. The functional is PBE-GGA.

CIF file:
```
data_YC2I
_space_group_name_H-M_alt 'F m -3 m'
_space_group_IT_number 225
_space_group_name_Hall '-F 4 2 3'
_cell_length_a 6.3720
_cell_length_b 6.3720
_cell_length_c 6.3720
_cell_angle_alpha 90.00
_cell_angle_beta 90.00
_cell_angle_gamma 90.00
loop_
_atom_site_label
_atom_site_type_symbol
_atom_site_fract_x
_atom_site_fract_y
_atom_site_fract_z
Y1 Y 0.0000 0.0000 0.0000
C1 C 0.2500 0.2500 0.2500
I1 I 0.0000 0.0000 0.5000
```

Computed properties:
The calculation puts the total magnetization at 0.00 Bohr magnetons per cell. As for the density of states at the Fermi level: 13.70 states/eV/cell.

2:
This record from Alexandria via LeMat-Bulk describes an optimized crystal structure of YC2I. The functional is PBE-GGA.

CIF file:
```
data_YC2I
_space_group_name_H-M_alt 'I -4 2 d'
_space_group_IT_number 122
_space_group_name_Hall 'I -4 2bw'
_cell_length_a 5.3410
_cell_length_b 5.3410
_cell_length_c 11.3897
_cell_angle_alpha 90.00
_cell_angle_beta 90.00
_cell_angle_gamma 90.00
loop_
_atom_site_label
_atom_site_type_symbol
_atom_site_fract_x
_atom_site_fract_y
_atom_site_fract_z
Y1 Y 0.0000 0.0000 0.0000
C1 C 0.2364 0.2500 0.6250
I1 I 0.0000 0.0000 0.5000
```

Computed properties:
The calculation puts the total magnetization at 0.00 Bohr magnetons per cell. As for the density of states at the Fermi level: 1.45 states/eV/cell.

So which one wins? Going from most stable to least: 2, 1.

1:
This record from Alexandria via LeMat-Bulk describes an optimized crystal structure of Zn3CI. The functional is PBE-GGA.

CIF file:
```
data_Zn3CI
_space_group_name_H-M_alt 'P m -3 m'
_space_group_IT_number 221
_space_group_name_Hall '-P 4 2 3'
_cell_length_a 4.4519
_cell_length_b 4.4519
_cell_length_c 4.4519
_cell_angle_alpha 90.00
_cell_angle_beta 90.00
_cell_angle_gamma 90.00
loop_
_atom_site_label
_atom_site_type_symbol
_atom_site_fract_x
_atom_site_fract_y
_atom_site_fract_z
Zn1 Zn 0.0000 0.0000 0.5000
C1 C 0.0000 0.0000 0.0000
I1 I 0.5000 0.5000 0.5000
```

Computed properties:
The calculation puts the total magnetization at 0.00 Bohr magnetons per cell. As for the density of states at the Fermi level: 2.02 states/eV/cell.

2:
This record from Alexandria via LeMat-Bulk describes an optimized crystal structure of Zn3CI. The functional is PBE-GGA.

CIF file:
```
data_Zn3CI
_space_group_name_H-M_alt 'P m -3 m'
_space_group_IT_number 221
_space_group_name_Hall '-P 4 2 3'
_cell_length_a 5.8667
_cell_length_b 5.8667
_cell_length_c 5.8667
_cell_angle_alpha 90.00
_cell_angle_beta 90.00
_cell_angle_gamma 90.00
loop_
_atom_site_label
_atom_site_type_symbol
_atom_site_fract_x
_atom_site_fract_y
_atom_site_fract_z
Zn1 Zn 0.0000 0.0000 0.5000
C1 C 0.5000 0.5000 0.5000
I1 I 0.0000 0.0000 0.0000
```

Computed properties:
The calculation puts the total magnetization at 2.45 Bohr magnetons per cell. As for the density of states at the Fermi level: 4.35 states/eV/cell.

So which one wins? Going from most stable to least: 1, 2.

1:
This record from Alexandria via LeMat-Bulk describes an optimized crystal structure of ZnCI3. The functional is PBE-GGA.

CIF file:
```
data_ZnCI3
_space_group_name_H-M_alt 'P m -3 m'
_space_group_IT_number 221
_space_group_name_Hall '-P 4 2 3'
_cell_length_a 5.5824
_cell_length_b 5.5824
_cell_length_c 5.5824
_cell_angle_alpha 90.00
_cell_angle_beta 90.00
_cell_angle_gamma 90.00
loop_
_atom_site_label
_atom_site_type_symbol
_atom_site_fract_x
_atom_site_fract_y
_atom_site_fract_z
Zn1 Zn 0.0000 0.0000 0.0000
C1 C 0.5000 0.5000 0.5000
I1 I 0.0000 0.0000 0.5000
```

Computed properties:
The calculation puts the total magnetization at 1.04 Bohr magnetons per cell. As for the density of states at the Fermi level: 6.82 states/eV/cell.

2:
This record from Alexandria via LeMat-Bulk describes an optimized crystal structure of ZnCI3. The functional is PBE-GGA.

CIF file:
```
data_ZnCI3
_space_group_name_H-M_alt 'P m -3 m'
_space_group_IT_number 221
_space_group_name_Hall '-P 4 2 3'
_cell_length_a 5.1274
_cell_length_b 5.1274
_cell_length_c 5.1274
_cell_angle_alpha 90.00
_cell_angle_beta 90.00
_cell_angle_gamma 90.00
loop_
_atom_site_label
_atom_site_type_symbol
_atom_site_fract_x
_atom_site_fract_y
_atom_site_fract_z
Zn1 Zn 0.0000 0.0000 0.0000
C1 C 0.5000 0.5000 0.5000
I1 I 0.0000 0.5000 0.5000
```

Computed properties:
The calculation puts the total magnetization at 0.00 Bohr magnetons per cell. As for the density of states at the Fermi level: 3.29 states/eV/cell.

So which one wins? Going from most stable to least: 2, 1.

1:
This record from Alexandria via LeMat-Bulk describes an optimized crystal structure of ZnC2I. The functional is PBE-GGA.

CIF file:
```
data_ZnC2I
_space_group_name_H-M_alt 'F m -3 m'
_space_group_IT_number 225
_space_group_name_Hall '-F 4 2 3'
_cell_length_a 6.0432
_cell_length_b 6.0432
_cell_length_c 6.0432
_cell_angle_alpha 90.00
_cell_angle_beta 90.00
_cell_angle_gamma 90.00
loop_
_atom_site_label
_atom_site_type_symbol
_atom_site_fract_x
_atom_site_fract_y
_atom_site_fract_z
Zn1 Zn 0.0000 0.0000 0.0000
C1 C 0.2500 0.2500 0.2500
I1 I 0.0000 0.0000 0.5000
```

Computed properties:
The calculation puts the total magnetization at 0.00 Bohr magnetons per cell. As for the density of states at the Fermi level: 11.82 states/eV/cell.

2:
This record from Alexandria via LeMat-Bulk describes an optimized crystal structure of ZnC2I. The functional is PBE-GGA.

CIF file:
```
data_ZnC2I
_space_group_name_H-M_alt 'I -4 2 d'
_space_group_IT_number 122
_space_group_name_Hall 'I -4 2bw'
_cell_length_a 4.9772
_cell_length_b 4.9772
_cell_length_c 10.4607
_cell_angle_alpha 90.00
_cell_angle_beta 90.00
_cell_angle_gamma 90.00
loop_
_atom_site_label
_atom_site_type_symbol
_atom_site_fract_x
_atom_site_fract_y
_atom_site_fract_z
Zn1 Zn 0.0000 0.0000 0.0000
C1 C 0.2170 0.2500 0.1250
I1 I 0.0000 0.0000 0.5000
```

Computed properties:
The calculation puts the total magnetization at 3.18 Bohr magnetons per cell. As for the density of states at the Fermi level: 9.71 states/eV/cell.

So which one wins? Going from most stable to least: 2, 1.

1:
This record from Alexandria via LeMat-Bulk describes an optimized crystal structure of ZrCI3. The functional is PBE-GGA.

CIF file:
```
data_ZrCI3
_space_group_name_H-M_alt 'P m -3 m'
_space_group_IT_number 221
_space_group_name_Hall '-P 4 2 3'
_cell_length_a 5.7241
_cell_length_b 5.7241
_cell_length_c 5.7241
_cell_angle_alpha 90.00
_cell_angle_beta 90.00
_cell_angle_gamma 90.00
loop_
_atom_site_label
_atom_site_type_symbol
_atom_site_fract_x
_atom_site_fract_y
_atom_site_fract_z
Zr1 Zr 0.0000 0.0000 0.0000
C1 C 0.5000 0.5000 0.5000
I1 I 0.0000 0.0000 0.5000
```

Computed properties:
The calculation puts the total magnetization at 2.66 Bohr magnetons per cell. As for the density of states at the Fermi level: 11.41 states/eV/cell.

2:
This record from Alexandria via LeMat-Bulk describes an optimized crystal structure of ZrCI3. The functional is PBE-GGA.

CIF file:
```
data_ZrCI3
_space_group_name_H-M_alt 'P m -3 m'
_space_group_IT_number 221
_space_group_name_Hall '-P 4 2 3'
_cell_length_a 5.0085
_cell_length_b 5.0085
_cell_length_c 5.0085
_cell_angle_alpha 90.00
_cell_angle_beta 90.00
_cell_angle_gamma 90.00
loop_
_atom_site_label
_atom_site_type_symbol
_atom_site_fract_x
_atom_site_fract_y
_atom_site_fract_z
Zr1 Zr 0.0000 0.0000 0.0000
C1 C 0.5000 0.5000 0.5000
I1 I 0.0000 0.5000 0.5000
```

Computed properties:
The calculation puts the total magnetization at 1.95 Bohr magnetons per cell. As for the density of states at the Fermi level: 3.38 states/eV/cell.

So which one wins? Going from most stable to least: 1, 2.

1:
This record from Alexandria via LeMat-Bulk describes an optimized crystal structure of InC2. The functional is PBE-GGA.

CIF file:
```
data_InC2
_space_group_name_H-M_alt 'R 3 m'
_space_group_IT_number 160
_space_group_name_Hall 'R 3 -2"'
_cell_length_a 3.5897
_cell_length_b 3.5897
_cell_length_c 26.3945
_cell_angle_alpha 90.00
_cell_angle_beta 90.00
_cell_angle_gamma 120.00
loop_
_atom_site_label
_atom_site_type_symbol
_atom_site_fract_x
_atom_site_fract_y
_atom_site_fract_z
In1 In 0.0000 0.0000 0.0000
In2 In 0.0000 0.0000 0.4468
C1 C 0.0000 0.0000 0.3647
C2 C 0.0000 0.0000 0.8185
C3 C 0.0000 0.0000 0.8694
C4 C 0.0000 0.0000 0.9175
```

Computed properties:
The calculation puts the total magnetization at 0.00 Bohr magnetons per cell. As for the density of states at the Fermi level: 4.44 states/eV/cell.

2:
This record from Alexandria via LeMat-Bulk describes an optimized crystal structure of InC2. The functional is PBE-GGA.

CIF file:
```
data_InC2
_space_group_name_H-M_alt 'P 42/m n m'
_space_group_IT_number 136
_space_group_name_Hall '-P 4n 2n'
_cell_length_a 4.3520
_cell_length_b 4.3520
_cell_length_c 5.4662
_cell_angle_alpha 90.00
_cell_angle_beta 90.00
_cell_angle_gamma 90.00
loop_
_atom_site_label
_atom_site_type_symbol
_atom_site_fract_x
_atom_site_fract_y
_atom_site_fract_z
In1 In 0.0000 0.0000 0.0000
C1 C 0.1031 0.1031 0.5000
```

Computed properties:
The calculation puts the total magnetization at 0.00 Bohr magnetons per cell. As for the density of states at the Fermi level: 2.16 states/eV/cell.

3:
This record from Alexandria via LeMat-Bulk describes an optimized crystal structure of InC2. The functional is PBE-GGA.

CIF file:
```
data_InC2
_space_group_name_H-M_alt 'C 1 2/m 1'
_space_group_IT_number 12
_cell_length_a 12.8661
_cell_length_b 2.5788
_cell_length_c 8.2954
_cell_angle_alpha 90.00
_cell_angle_beta 128.33
_cell_angle_gamma 90.00
loop_
_space_group_symop_operation_xyz
'x,y,z'
'-x,-y,-z'
'-x,y,-z'
'x,-y,z'
'x+1/2,y+1/2,z'
'-x+1/2,-y+1/2,-z'
'-x+1/2,y+1/2,-z'
'x+1/2,-y+1/2,z'
loop_
_atom_site_label
_atom_site_type_symbol
_atom_site_fract_x
_atom_site_fract_y
_atom_site_fract_z
In1 In 0.1471 0.0000 0.2361
C1 C 0.0430 0.5000 0.4697
C2 C 0.0830 0.0000 0.4417
```

Computed properties:
The calculation puts the total magnetization at 0.00 Bohr magnetons per cell. As for the density of states at the Fermi level: 1.75 states/eV/cell.

4:
This record from Alexandria via LeMat-Bulk describes an optimized crystal structure of InC2. The functional is PBE-GGA.

CIF file:
```
data_InC2
_space_group_name_H-M_alt 'P 63/m m c'
_space_group_IT_number 194
_space_group_name_Hall '-P 6c 2c'
_cell_length_a 4.2189
_cell_length_b 4.2189
_cell_length_c 4.7348
_cell_angle_alpha 90.00
_cell_angle_beta 90.00
_cell_angle_gamma 120.00
loop_
_atom_site_label
_atom_site_type_symbol
_atom_site_fract_x
_atom_site_fract_y
_atom_site_fract_z
In1 In 0.3333 0.6667 0.2500
C1 C 0.0000 0.0000 0.0000
C2 C 0.3333 0.6667 0.7500
```

Computed properties:
The calculation puts the total magnetization at 0.00 Bohr magnetons per cell. As for the density of states at the Fermi level: 2.02 states/eV/cell.

So which one wins? Going from most stable to least: 3, 1, 2, 4.

1:
This record from Alexandria via LeMat-Bulk describes an optimized crystal structure of InC2. The functional is PBE-GGA.

CIF file:
```
data_InC2
_space_group_name_H-M_alt 'C m m m'
_space_group_IT_number 65
_space_group_name_Hall '-C 2 2'
_cell_length_a 2.6581
_cell_length_b 21.7282
_cell_length_c 2.8157
_cell_angle_alpha 90.00
_cell_angle_beta 90.00
_cell_angle_gamma 90.00
loop_
_atom_site_label
_atom_site_type_symbol
_atom_site_fract_x
_atom_site_fract_y
_atom_site_fract_z
In1 In 0.0000 0.1060 0.0000
C1 C 0.0000 0.0000 0.5000
C2 C 0.0000 0.2488 0.5000
C3 C 0.0000 0.5000 0.0000
```

Computed properties:
The calculation puts the total magnetization at 0.00 Bohr magnetons per cell. As for the density of states at the Fermi level: 4.96 states/eV/cell.

2:
This record from Alexandria via LeMat-Bulk describes an optimized crystal structure of InC2. The functional is PBE-GGA.

CIF file:
```
data_InC2
_space_group_name_H-M_alt 'P 63/m m c'
_space_group_IT_number 194
_space_group_name_Hall '-P 6c 2c'
_cell_length_a 3.5256
_cell_length_b 3.5256
_cell_length_c 7.9265
_cell_angle_alpha 90.00
_cell_angle_beta 90.00
_cell_angle_gamma 120.00
loop_
_atom_site_label
_atom_site_type_symbol
_atom_site_fract_x
_atom_site_fract_y
_atom_site_fract_z
In1 In 0.0000 0.0000 0.0000
C1 C 0.3333 0.6667 0.1687
```

Computed properties:
The calculation puts the total magnetization at 0.00 Bohr magnetons per cell. As for the density of states at the Fermi level: 1.58 states/eV/cell.

So which one wins? Going from most stable to least: 2, 1.